Arrangement one

# CaPr2Y PBE-GGA optimized geometry
# **Magnetic moment**: 0.000 μB/atom
# **Symmetry**: No. 166
data_CaPr2Y
_chemical_formula_sum 'Ca1 Pr2 Y1'
_symmetry_space_group_name_H-M 'P 1'
_symmetry_Int_Tables_number 1
_cell_length_a 3.633
_cell_length_b 3.633
_cell_length_c 13.130
_cell_angle_alpha 82.05
_cell_angle_beta 82.05
_cell_angle_gamma 60.00
loop_
_symmetry_equiv_pos_as_xyz
'x,y,z'
loop_
_atom_site_label
_atom_site_fract_x
_atom_site_fract_y
_atom_site_fract_z
_atom_site_occupancy
Pr1 0.091 0.091 0.726 1
Pr2 0.909 0.909 0.274 1
Y1 0.500 0.500 0.500 1
Ca1 0.000 0.000 0.000 1

***

Arrangement two

# CaPr2Y PBE-GGA optimized geometry
# **Magnetic moment**: 0.000 μB/atom
# **Symmetry**: No. 160
data_CaPr2Y
_chemical_formula_sum 'Ca1 Pr2 Y1'
_symmetry_space_group_name_H-M 'P 1'
_symmetry_Int_Tables_number 1
_cell_length_a 3.689
_cell_length_b 3.689
_cell_length_c 12.452
_cell_angle_alpha 81.48
_cell_angle_beta 81.48
_cell_angle_gamma 60.00
loop_
_symmetry_equiv_pos_as_xyz
'x,y,z'
loop_
_atom_site_label
_atom_site_fract_x
_atom_site_fract_y
_atom_site_fract_z
_atom_site_occupancy
Ca1 0.500 0.500 0.500 1
Pr1 0.079 0.079 0.763 1
Pr2 0.255 0.255 0.236 1
Y1 0.667 0.667 0.000 1

***

Energies relative to the minimum, kJ/mol of atoms: arrangement one 8.8; arrangement two 0.0

***

Arrangement one

# CaPr2Y PBE-GGA optimized geometry
# **Magnetic moment**: 0.000 μB/atom
# **Symmetry**: No. 38
data_CaPr2Y
_chemical_formula_sum 'Ca1 Pr2 Y1'
_symmetry_space_group_name_H-M 'P 1'
_symmetry_Int_Tables_number 1
_cell_length_a 3.701
_cell_length_b 3.701
_cell_length_c 12.214
_cell_angle_alpha 90.00
_cell_angle_beta 90.00
_cell_angle_gamma 119.97
loop_
_symmetry_equiv_pos_as_xyz
'x,y,z'
loop_
_atom_site_label
_atom_site_fract_x
_atom_site_fract_y
_atom_site_fract_z
_atom_site_occupancy
Ca1 0.801 0.199 0.000 1
Pr1 0.466 0.534 0.263 1
Pr2 0.466 0.534 0.737 1
Y1 0.133 0.867 0.500 1

***

Arrangement two

# CaPr2Y PBE-GGA optimized geometry
# **Magnetic moment**: 0.000 μB/atom
# **Symmetry**: No. 123
data_CaPr2Y
_chemical_formula_sum 'Ca1 Pr2 Y1'
_symmetry_space_group_name_H-M 'P 1'
_symmetry_Int_Tables_number 1
_cell_length_a 3.688
_cell_length_b 3.688
_cell_length_c 10.655
_cell_angle_alpha 90.00
_cell_angle_beta 90.00
_cell_angle_gamma 90.00
loop_
_symmetry_equiv_pos_as_xyz
'x,y,z'
loop_
_atom_site_label
_atom_site_fract_x
_atom_site_fract_y
_atom_site_fract_z
_atom_site_occupancy
Pr1 0.000 0.000 0.764 1
Pr2 0.000 0.000 0.236 1
Y1 0.500 0.500 0.000 1
Ca1 0.500 0.500 0.500 1

***

Energies relative to the minimum, kJ/mol of atoms: arrangement one 0.0; arrangement two 1.9

***

Arrangement one

# CaPr2Y PBE-GGA optimized geometry
# **Magnetic moment**: 0.000 μB/atom
# **Symmetry**: No. 123
data_CaPr2Y
_chemical_formula_sum 'Ca1 Pr2 Y1'
_symmetry_space_group_name_H-M 'P 1'
_symmetry_Int_Tables_number 1
_cell_length_a 5.113
_cell_length_b 5.293
_cell_length_c 5.293
_cell_angle_alpha 90.00
_cell_angle_beta 90.00
_cell_angle_gamma 90.00
loop_
_symmetry_equiv_pos_as_xyz
'x,y,z'
loop_
_atom_site_label
_atom_site_fract_x
_atom_site_fract_y
_atom_site_fract_z
_atom_site_occupancy
Pr1 0.000 0.000 0.500 1
Pr2 0.000 0.500 0.000 1
Y1 0.500 0.000 0.000 1
Ca1 0.500 0.500 0.500 1

***

Arrangement two

# CaPr2Y PBE-GGA optimized geometry
# **Magnetic moment**: 0.000 μB/atom
# **Symmetry**: No. 225
data_CaPr2Y
_chemical_formula_sum 'Ca1 Pr2 Y1'
_symmetry_space_group_name_H-M 'P 1'
_symmetry_Int_Tables_number 1
_cell_length_a 5.893
_cell_length_b 5.893
_cell_length_c 5.893
_cell_angle_alpha 60.00
_cell_angle_beta 60.00
_cell_angle_gamma 60.00
loop_
_symmetry_equiv_pos_as_xyz
'x,y,z'
loop_
_atom_site_label
_atom_site_fract_x
_atom_site_fract_y
_atom_site_fract_z
_atom_site_occupancy
Pr1 0.250 0.250 0.250 1
Pr2 0.750 0.750 0.750 1
Y1 0.500 0.500 0.500 1
Ca1 0.000 0.000 0.000 1

***

Energies relative to the minimum, kJ/mol of atoms: arrangement one 0.0; arrangement two 2.3

***

Arrangement one

# CaPr4Y PBE-GGA optimized geometry
# **Magnetic moment**: 0.000 μB/atom
# **Symmetry**: No. 10
data_CaPr4Y
_chemical_formula_sum 'Ca1 Pr4 Y1'
_symmetry_space_group_name_H-M 'P 1'
_symmetry_Int_Tables_number 1
_cell_length_a 3.667
_cell_length_b 5.287
_cell_length_c 11.174
_cell_angle_alpha 90.00
_cell_angle_beta 90.05
_cell_angle_gamma 90.00
loop_
_symmetry_equiv_pos_as_xyz
'x,y,z'
loop_
_atom_site_label
_atom_site_fract_x
_atom_site_fract_y
_atom_site_fract_z
_atom_site_occupancy
Ca1 0.000 0.500 0.000 1
Pr1 0.501 0.000 0.820 1
Pr2 0.499 0.000 0.180 1
Pr3 0.001 0.500 0.661 1
Pr4 0.999 0.500 0.339 1
Y1 0.500 0.000 0.500 1

***

Arrangement two

# CaPr4Y PBE-GGA optimized geometry
# **Magnetic moment**: 0.000 μB/atom
# **Symmetry**: No. 216
data_CaPr4Y
_chemical_formula_sum 'Ca1 Pr4 Y1'
_symmetry_space_group_name_H-M 'P 1'
_symmetry_Int_Tables_number 1
_cell_length_a 6.853
_cell_length_b 6.853
_cell_length_c 6.853
_cell_angle_alpha 60.00
_cell_angle_beta 60.00
_cell_angle_gamma 60.00
loop_
_symmetry_equiv_pos_as_xyz
'x,y,z'
loop_
_atom_site_label
_atom_site_fract_x
_atom_site_fract_y
_atom_site_fract_z
_atom_site_occupancy
Pr1 0.627 0.627 0.120 1
Pr2 0.627 0.120 0.627 1
Pr3 0.627 0.627 0.627 1
Pr4 0.120 0.627 0.627 1
Y1 0.000 0.000 0.000 1
Ca1 0.250 0.250 0.250 1

***

Arrangement three

# CaPr4Y PBE-GGA optimized geometry
# **Magnetic moment**: 0.000 μB/atom
# **Symmetry**: No. 44
data_CaPr4Y
_chemical_formula_sum 'Ca1 Pr4 Y1'
_symmetry_space_group_name_H-M 'P 1'
_symmetry_Int_Tables_number 1
_cell_length_a 3.619
_cell_length_b 6.700
_cell_length_c 9.840
_cell_angle_alpha 109.90
_cell_angle_beta 100.55
_cell_angle_gamma 90.00
loop_
_symmetry_equiv_pos_as_xyz
'x,y,z'
loop_
_atom_site_label
_atom_site_fract_x
_atom_site_fract_y
_atom_site_fract_z
_atom_site_occupancy
Ca1 0.120 0.036 0.072 1
Pr1 0.291 0.707 0.415 1
Pr2 0.454 0.132 0.742 1
Pr3 0.454 0.610 0.742 1
Pr4 0.632 0.547 0.095 1
Y1 0.801 0.217 0.435 1

***

Energies relative to the minimum, kJ/mol of atoms: arrangement one 0.0; arrangement two 16.3; arrangement three 13.1

***

Arrangement one

# Ca2Pr2Y PBE-GGA optimized geometry
# **Magnetic moment**: 0.000 μB/atom
# **Symmetry**: No. 127
data_Ca2Pr2Y
_chemical_formula_sum 'Ca4 Pr4 Y2'
_symmetry_space_group_name_H-M 'P 1'
_symmetry_Int_Tables_number 1
_cell_length_a 9.566
_cell_length_b 9.566
_cell_length_c 4.020
_cell_angle_alpha 90.00
_cell_angle_beta 90.00
_cell_angle_gamma 90.00
loop_
_symmetry_equiv_pos_as_xyz
'x,y,z'
loop_
_atom_site_label
_atom_site_fract_x
_atom_site_fract_y
_atom_site_fract_z
_atom_site_occupancy
Ca1 0.327 0.827 0.500 1
Ca2 0.827 0.673 0.500 1
Ca3 0.673 0.173 0.500 1
Ca4 0.173 0.327 0.500 1
Pr1 0.127 0.627 0.000 1
Pr2 0.627 0.873 0.000 1
Pr3 0.873 0.373 0.000 1
Pr4 0.373 0.127 0.000 1
Y1 0.000 0.000 0.000 1
Y2 0.500 0.500 0.000 1

***

Arrangement two

# Ca2Pr2Y PBE-GGA optimized geometry
# **Magnetic moment**: 0.000 μB/atom
# **Symmetry**: No. 139
data_Ca2Pr2Y
_chemical_formula_sum 'Ca2 Pr2 Y1'
_symmetry_space_group_name_H-M 'P 1'
_symmetry_Int_Tables_number 1
_cell_length_a 4.659
_cell_length_b 4.659
_cell_length_c 9.441
_cell_angle_alpha 104.28
_cell_angle_beta 104.28
_cell_angle_gamma 90.00
loop_
_symmetry_equiv_pos_as_xyz
'x,y,z'
loop_
_atom_site_label
_atom_site_fract_x
_atom_site_fract_y
_atom_site_fract_z
_atom_site_occupancy
Ca1 0.750 0.250 0.500 1
Ca2 0.250 0.750 0.500 1
Pr1 0.411 0.411 0.823 1
Pr2 0.589 0.589 0.177 1
Y1 0.000 0.000 0.000 1

***

Energies relative to the minimum, kJ/mol of atoms: arrangement one 0.0; arrangement two 14.3

***

Arrangement one

# CaPr6Y4 PBE-GGA optimized geometry
# **Magnetic moment**: 0.000 μB/atom
# **Symmetry**: No. 187
data_CaPr6Y4
_chemical_formula_sum 'Ca1 Pr6 Y4'
_symmetry_space_group_name_H-M 'P 1'
_symmetry_Int_Tables_number 1
_cell_length_a 5.399
_cell_length_b 9.481
_cell_length_c 9.481
_cell_angle_alpha 120.00
_cell_angle_beta 90.00
_cell_angle_gamma 90.00
loop_
_symmetry_equiv_pos_as_xyz
'x,y,z'
loop_
_atom_site_label
_atom_site_fract_x
_atom_site_fract_y
_atom_site_fract_z
_atom_site_occupancy
Ca1 0.000 0.000 0.000 1
Pr1 0.000 0.532 0.065 1
Pr2 0.500 0.595 0.798 1
Pr3 0.000 0.532 0.468 1
Pr4 0.000 0.935 0.468 1
Pr5 0.500 0.202 0.798 1
Pr6 0.500 0.202 0.405 1
Y1 0.500 0.791 0.582 1
Y2 0.500 0.418 0.209 1
Y3 0.500 0.791 0.209 1
Y4 0.000 0.333 0.667 1

***

Arrangement two

# CaPr6Y4 PBE-GGA optimized geometry
# **Magnetic moment**: 0.000 μB/atom
# **Symmetry**: No. 121
data_CaPr6Y4
_chemical_formula_sum 'Ca1 Pr6 Y4'
_symmetry_space_group_name_H-M 'P 1'
_symmetry_Int_Tables_number 1
_cell_length_a 7.870
_cell_length_b 7.870
_cell_length_c 8.739
_cell_angle_alpha 116.76
_cell_angle_beta 116.76
_cell_angle_gamma 90.00
loop_
_symmetry_equiv_pos_as_xyz
'x,y,z'
loop_
_atom_site_label
_atom_site_fract_x
_atom_site_fract_y
_atom_site_fract_z
_atom_site_occupancy
Ca1 0.500 0.500 0.000 1
Pr1 0.934 0.446 0.381 1
Pr2 0.446 0.934 0.381 1
Pr3 0.554 0.554 0.619 1
Pr4 0.000 0.500 0.000 1
Pr5 0.066 0.066 0.619 1
Pr6 0.500 0.000 0.000 1
Y1 0.082 0.761 0.843 1
Y2 0.918 0.918 0.157 1
Y3 0.761 0.082 0.843 1
Y4 0.239 0.239 0.157 1

***

Energies relative to the minimum, kJ/mol of atoms: arrangement one 0.0; arrangement two 1.2

***

Arrangement one

# Ca2PrY PBE-GGA optimized geometry
# **Magnetic moment**: 0.000 μB/atom
# **Symmetry**: No. 123
data_Ca2PrY
_chemical_formula_sum 'Ca2 Pr1 Y1'
_symmetry_space_group_name_H-M 'P 1'
_symmetry_Int_Tables_number 1
_cell_length_a 4.189
_cell_length_b 4.189
_cell_length_c 8.406
_cell_angle_alpha 90.00
_cell_angle_beta 90.00
_cell_angle_gamma 90.00
loop_
_symmetry_equiv_pos_as_xyz
'x,y,z'
loop_
_atom_site_label
_atom_site_fract_x
_atom_site_fract_y
_atom_site_fract_z
_atom_site_occupancy
Pr1 0.500 0.500 0.000 1
Y1 0.500 0.500 0.500 1
Ca1 0.000 0.000 0.744 1
Ca2 0.000 0.000 0.256 1

***

Arrangement two

# Ca2PrY PBE-GGA optimized geometry
# **Magnetic moment**: 0.000 μB/atom
# **Symmetry**: No. 8
data_Ca2PrY
_chemical_formula_sum 'Ca2 Pr1 Y1'
_symmetry_space_group_name_H-M 'P 1'
_symmetry_Int_Tables_number 1
_cell_length_a 3.727
_cell_length_b 6.389
_cell_length_c 11.546
_cell_angle_alpha 33.99
_cell_angle_beta 99.18
_cell_angle_gamma 89.85
loop_
_symmetry_equiv_pos_as_xyz
'x,y,z'
loop_
_atom_site_label
_atom_site_fract_x
_atom_site_fract_y
_atom_site_fract_z
_atom_site_occupancy
Ca1 0.050 0.060 0.687 1
Ca2 0.547 0.567 0.682 1
Pr1 0.301 0.649 0.185 1
Y1 0.801 0.150 0.184 1

***

Arrangement three

# Ca2PrY PBE-GGA optimized geometry
# **Magnetic moment**: 0.038 μB/atom
# **Symmetry**: No. 160
data_Ca2PrY
_chemical_formula_sum 'Ca2 Pr1 Y1'
_symmetry_space_group_name_H-M 'P 1'
_symmetry_Int_Tables_number 1
_cell_length_a 3.712
_cell_length_b 3.712
_cell_length_c 12.618
_cell_angle_alpha 81.54
_cell_angle_beta 81.54
_cell_angle_gamma 60.00
loop_
_symmetry_equiv_pos_as_xyz
'x,y,z'
loop_
_atom_site_label
_atom_site_fract_x
_atom_site_fract_y
_atom_site_fract_z
_atom_site_occupancy
Ca1 0.083 0.083 0.752 1
Ca2 0.251 0.251 0.248 1
Pr1 0.500 0.500 0.499 1
Y1 0.666 0.666 0.001 1

***

Energies relative to the minimum, kJ/mol of atoms: arrangement one 4.0; arrangement two 0.0; arrangement three 0.9